(1)
Density functional theory data (PBE) for a geometry-optimized Tl2NiHgBr structure.

Geometry as POSCAR:
```
Tl2NiHgBr
1.0
5.218 0.000 0.000
0.000 5.218 0.000
0.000 0.000 5.111
Tl Ni Hg Br
2 1 1 1
Direct
0.000 0.500 0.000 Tl
0.500 0.000 0.000 Tl
0.000 0.000 0.000 Ni
0.000 0.000 0.500 Hg
0.500 0.500 0.500 Br
```

## Properties
Its space group is P4/mmm. The value obtained for the density of states at the Fermi level is 0.320 states/eV/atom. The total energy comes out at -13.51 eV per cell. Its crystal system is tetragonal.

***

(2)
Density functional theory data (PBE) for a geometry-optimized ZnInCl2 structure.

Geometry as POSCAR:
```
ZnInCl2
1.0
1.762 1.018 9.652
-1.762 1.018 9.652
0.000 -2.035 9.652
Zn In Cl
1 1 2
Direct
0.000 0.000 0.000 Zn
0.500 0.500 0.500 In
0.383 0.383 0.383 Cl
0.617 0.617 0.617 Cl
```

## Properties
Its space group is R-3m. The value obtained for the density of states at the Fermi level is 0.207 states/eV/atom. Its crystal system is trigonal. For the polymorph energy (0 for the lowest one), the calculation gives 33.4 meV per atom.

***

(3)
Density functional theory data (PBE) for a geometry-optimized TlTe2H structure.

Geometry as POSCAR:
```
TlTe2H
1.0
-3.046 3.046 6.011
3.046 -3.046 6.011
3.046 3.046 -6.011
Tl Te H
2 4 2
Direct
0.000 0.000 0.000 Tl
0.750 0.250 0.500 Tl
0.206 0.625 0.081 Te
0.375 0.456 0.581 Te
0.544 0.125 0.919 Te
0.875 0.794 0.419 Te
0.250 0.750 0.500 H
0.500 0.500 0.000 H
```

## Properties
Its space group is I-42d. The value obtained for the density of states at the Fermi level is 0.093 states/eV/atom. Its crystal system is tetragonal. For the polymorph energy (0 for the lowest one), the calculation gives 284.4 meV per atom.

***

(4)
Density functional theory data (PBE) for a geometry-optimized LiPaHgS4 structure.

Geometry as POSCAR:
```
LiPaHgS4
1.0
-3.841 4.030 5.660
3.841 -4.030 5.660
3.841 4.030 -5.660
Li Pa Hg S
2 2 2 8
Direct
0.403 0.153 0.250 Li
0.597 0.847 0.750 Li
0.000 0.500 0.500 Pa
0.500 0.500 0.000 Pa
0.000 0.000 0.500 Hg
0.000 0.500 0.000 Hg
0.213 0.734 0.479 S
0.245 0.266 0.979 S
0.272 0.296 0.524 S
0.272 0.747 0.976 S
0.728 0.253 0.024 S
0.728 0.704 0.476 S
0.755 0.734 0.021 S
0.787 0.266 0.521 S
```

## Properties
Its space group is Imma. The total energy comes out at -71.11 eV per cell. Its crystal system is orthorhombic.

***

(5)
Density functional theory data (PBE) for a geometry-optimized Ti3NbAs structure.

Geometry as POSCAR:
```
Ti3NbAs
1.0
4.770 0.000 0.000
0.000 4.770 0.000
0.000 0.000 4.770
Ti Nb As
3 1 1
Direct
0.000 0.000 0.500 Ti
0.000 0.500 0.000 Ti
0.500 0.000 0.000 Ti
0.000 0.000 0.000 Nb
0.500 0.500 0.500 As
```

## Properties
Its space group is Pm-3m. The value obtained for the density of states at the Fermi level is 1.637 states/eV/atom. Its crystal system is cubic. For the polymorph energy (0 for the lowest one), the calculation gives 1313.4 meV per atom.

***

(6)
Density functional theory data (PBE) for a geometry-optimized GeBi2Au structure.

Geometry as POSCAR:
```
GeBi2Au
1.0
2.152 1.242 6.828
-2.152 1.242 6.828
0.000 -2.485 6.828
Ge Bi Au
1 2 1
Direct
0.000 0.000 0.000 Ge
0.420 0.420 0.420 Bi
0.587 0.587 0.587 Bi
0.834 0.834 0.834 Au
```

## Properties
Its space group is R3m. The value obtained for the density of states at the Fermi level is 0.410 states/eV/atom. The total energy comes out at -15.10 eV per cell. Its crystal system is trigonal.

***

(7)
Density functional theory data (PBE) for a geometry-optimized Ba2ZrFeC structure.

Geometry as POSCAR:
```
Ba2ZrFeC
1.0
5.862 0.000 0.000
0.000 5.862 0.000
0.000 0.000 4.594
Ba Zr Fe C
2 1 1 1
Direct
0.000 0.500 0.000 Ba
0.500 0.000 0.000 Ba
0.000 0.000 0.500 Zr
0.000 0.000 0.000 Fe
0.500 0.500 0.500 C
```

## Properties
Its space group is P4/mmm. The value obtained for the density of states at the Fermi level is 1.106 states/eV/atom. The total energy comes out at -22.58 eV per cell. Its crystal system is tetragonal.

***

(8)
Density functional theory data (PBE) for a geometry-optimized NiGeBi2W structure.

Geometry as POSCAR:
```
NiGeBi2W
1.0
5.478 0.000 0.000
0.000 5.478 0.000
0.000 0.000 4.272
Ni Ge Bi W
1 1 2 1
Direct
0.000 0.000 0.000 Ni
0.000 0.000 0.500 Ge
0.000 0.500 0.500 Bi
0.500 0.000 0.500 Bi
0.500 0.500 0.000 W
```

## Properties
Its space group is P4/mmm. The value obtained for the density of states at the Fermi level is 0.778 states/eV/atom. The total energy comes out at -24.03 eV per cell. Its crystal system is tetragonal.

***

(9)
Density functional theory data (PBE) for a geometry-optimized HfPdC3 structure.

Geometry as POSCAR:
```
HfPdC3
1.0
4.249 0.000 0.000
0.000 4.249 0.000
0.000 0.000 4.249
Hf Pd C
1 1 3
Direct
0.000 0.000 0.000 Hf
0.500 0.500 0.500 Pd
0.000 0.000 0.500 C
0.000 0.500 0.000 C
0.500 0.000 0.000 C
```

## Properties
Its space group is Pm-3m. The value obtained for the density of states at the Fermi level is 0.492 states/eV/atom. Its crystal system is cubic. For the polymorph energy (0 for the lowest one), the calculation gives 159.7 meV per atom.

***

(10)
Density functional theory data (PBE) for a geometry-optimized SrGe2O structure.

Geometry as POSCAR:
```
SrGe2O
1.0
-2.473 2.473 7.733
2.473 -2.473 7.733
2.473 2.473 -7.733
Sr Ge O
2 4 2
Direct
0.000 0.000 0.000 Sr
0.750 0.250 0.500 Sr
0.373 0.625 0.248 Ge
0.375 0.623 0.748 Ge
0.377 0.125 0.752 Ge
0.875 0.627 0.252 Ge
0.250 0.750 0.500 O
0.500 0.500 0.000 O
```

## Properties
Its space group is I-42d. The value obtained for the density of states at the Fermi level is 0.368 states/eV/atom. The total energy comes out at -35.50 eV per cell. Its crystal system is tetragonal.

***

(11)
Density functional theory data (PBE) for a geometry-optimized LiSc3I structure.

Geometry as POSCAR:
```
LiSc3I
1.0
5.023 0.000 0.000
0.000 5.023 0.000
0.000 0.000 5.023
Li Sc I
1 3 1
Direct
0.000 0.000 0.000 Li
0.000 0.000 0.500 Sc
0.000 0.500 0.000 Sc
0.500 0.000 0.000 Sc
0.500 0.500 0.500 I
```

## Properties
Its space group is Pm-3m. The value obtained for the density of states at the Fermi level is 0.894 states/eV/atom. Its crystal system is cubic. For the polymorph energy (0 for the lowest one), the calculation gives 0.0 meV per atom.

***

(12)
Density functional theory data (PBE) for a geometry-optimized Nb6Ga2Ge structure.

Geometry as POSCAR:
```
Nb6Ga2Ge
1.0
8.026 0.000 0.000
0.000 8.364 0.000
0.000 0.000 4.651
Nb Ga Ge
12 4 2
Direct
0.005 0.170 0.000 Nb
0.165 0.581 0.500 Nb
0.170 0.922 0.500 Nb
0.330 0.422 0.000 Nb
0.335 0.081 0.000 Nb
0.495 0.670 0.500 Nb
0.505 0.330 0.500 Nb
0.665 0.919 0.000 Nb
0.670 0.578 0.000 Nb
0.830 0.078 0.500 Nb
0.835 0.419 0.500 Nb
0.995 0.830 0.000 Nb
0.171 0.248 0.500 Ga
0.329 0.748 0.000 Ga
0.671 0.252 0.000 Ga
0.829 0.752 0.500 Ga
0.000 0.500 0.000 Ge
0.500 0.000 0.500 Ge
```

## Properties
Its space group is Pnnm. The value obtained for the density of states at the Fermi level is 0.443 states/eV/atom. The total energy comes out at -147.37 eV per cell. Its crystal system is orthorhombic.